[1]
The following is a DFT calculation (GGA-PBE) of Cu3TeCl after structural relaxation.

Cell and atoms, written as POSCAR:
```
Cu3TeCl
1.0
-3.6052 -1.8434 -2.7799
3.0388 -3.5031 -1.6179
-1.3755 -2.9075 3.7119
Cu Te Cl
3 1 1
direct
0.5000 0.0000 0.0000
0.0000 0.0000 0.5000
0.0000 0.5000 0.0000
0.0000 0.0000 0.0000
0.5000 0.5000 0.5000
```

Output
E: -16.00 eV per cell
Calculated volume: 23.70 Å³ per atom
ΔE_f (raw): 1.28 eV per formula unit

[2]
The following is a DFT calculation (GGA-PBE) of EuSnAu after structural relaxation.

Cell and atoms, written as POSCAR:
```
EuSnAu
1.0
3.6727 0.0000 0.0000
0.0000 3.6727 0.0000
-1.8363 -1.8363 5.7330
Sn Au Eu
1 1 1
direct
0.2602 0.2602 0.5204
0.6276 0.6276 0.2552
0.9622 0.9622 0.9244
```

Output
E: -19.13 eV per cell
Energy of formation from the pure elements: -1.58 eV per formula unit
Calculated volume: 25.78 Å³ per atom

[3]
The following is a DFT calculation (GGA-PBE) of Mn4CrFe after structural relaxation.

Cell and atoms, written as POSCAR:
```
Mn4CrFe
1.0
4.2000 -2.1992 0.2867
-4.7244 6.5167 -2.6676
1.7063 -0.0709 7.2667
Mn Fe Cr
8 2 2
direct
0.4549 0.2046 0.6083
0.0774 0.3050 0.7247
0.9519 0.7057 0.6096
0.5451 0.7954 0.3917
0.9226 0.6950 0.2753
0.0481 0.2943 0.3904
0.5032 0.7771 0.7189
0.4968 0.2229 0.2811
0.9606 0.7086 0.9450
0.0394 0.2914 0.0550
0.5485 0.7952 0.0565
0.4515 0.2048 0.9435
```

Output
E: -108.52 eV per cell
Energy of formation from the pure elements: 0.51 eV per formula unit
Calculated volume: 10.79 Å³ per atom

Q: The lowest E belongs to which entry?
A: Mn4CrFe

Please write out number 2 again, unchanged.
The following is a DFT calculation (GGA-PBE) of EuSnAu after structural relaxation.

Cell and atoms, written as POSCAR:
```
EuSnAu
1.0
3.6727 0.0000 0.0000
0.0000 3.6727 0.0000
-1.8363 -1.8363 5.7330
Sn Au Eu
1 1 1
direct
0.2602 0.2602 0.5204
0.6276 0.6276 0.2552
0.9622 0.9622 0.9244
```

Output
E: -19.13 eV per cell
Energy of formation from the pure elements: -1.58 eV per formula unit
Calculated volume: 25.78 Å³ per atom